5
Lattice="3.683 0.000 0.000 0.000 3.683 0.000 0.000 0.000 4.986" Properties=species:S:1:pos:R:3 comment="TiFePO2 (GGA+U, optimized geometry)" vol_a3_per_atom=13.52 de_polymorph_ev_per_atom=0.6058 pbc="T T T"
Ti 0.000 0.000 0.000
Fe 1.841 1.841 2.493
P 1.841 1.841 0.000
O 0.000 1.841 2.493
O 1.841 0.000 2.493